First-principles (PBE) data for a relaxed KNdCoSe3 crystal, as listed in OQMD.

Values from the calculation:
Space group   Cmcm (63)
Excess energy over the best structure of this formula in the dataset   0.00 eV/f.u.
ρ   4.65 g/cm³
V   342.6 Å³ per cell

a = 7.629 Å, b = 7.629 Å, c = 11.198 Å
α = 90.00°, β = 90.00°, γ = 148.29°
Each line ends with the local moment (μB).
Element x y z (fractional)
Co 0.032 0.968 0.750  2.17
K 0.245 0.755 0.250  0.00
Co 0.968 0.032 0.250  2.17
Se 0.128 0.872 0.578  0.12
K 0.755 0.245 0.750  0.00
Nd 0.500 0.500 0.000  0.02
Se 0.436 0.564 0.750  0.15
Se 0.128 0.872 0.922  0.12
Se 0.564 0.436 0.250  0.15
Nd 0.500 0.500 0.500  0.02
Se 0.872 0.128 0.422  0.12
Se 0.872 0.128 0.078  0.12